Sr4MgPa3N8: optimized geometry, PBE.

Computed properties:
- M_tot: 0.00 μB/f.u.
- Total DFT energy (no corrections): -7.703 eV per atom
- Space-group type: R-3m (166)

Cell lengths 7.1444, 7.2680, 7.1442 Å; angles 119.44, 120.00, 90.00 degrees
Sites, in units of the cell vectors:
Sr 0.0000 0.0000 0.0000
Sr 0.0000 0.0000 0.5000
Sr 0.5000 0.0000 0.5000
Sr 0.5000 0.0000 0.0000
N 0.2859 0.3004 0.0431
N 0.2671 0.3013 0.5342
N 0.2428 0.6996 0.9569
N 0.2427 0.6995 0.4854
N 0.7572 0.3004 0.0431
N 0.7141 0.6996 0.9569
N 0.7573 0.3005 0.5146
N 0.7329 0.6987 0.4658
Pa 0.5000 0.5000 0.0000
Pa 0.5000 0.5000 0.5000
Pa 0.0000 0.5000 0.5000
Mg 0.0000 0.5000 0.0000


Sr2Mg2PaN4: optimized geometry, PBE.

Computed properties:
- M_tot: 0.90 μB/f.u.
- Total DFT energy (no corrections): -6.288 eV per atom
- Space-group type: C2/m (12)

Cell lengths 3.6226, 6.1945, 6.9554 Å; angles 105.27, 105.09, 90.00 degrees
Sites, in units of the cell vectors:
Mg 0.3195 0.9913 0.6389
Mg 0.6805 0.0087 0.3611
Sr 0.1332 0.5448 0.2665
Sr 0.8668 0.4552 0.7335
Pa 0.0000 0.0000 0.0000
N 0.5285 0.7870 0.0569
N 0.7976 0.8177 0.5952
N 0.4715 0.2130 0.9431
N 0.2024 0.1823 0.4048


SrMg3Pa2N6: optimized geometry, PBE.

Computed properties:
- M_tot: 0.00 μB/f.u.
- Total DFT energy (no corrections): -7.398 eV per atom
- Space-group type: C2/m (12)

Cell lengths 3.6337, 7.4011, 7.0793 Å; angles 100.08, 104.87, 90.00 degrees
Sites, in units of the cell vectors:
Pa 0.8367 0.6715 0.6734
Pa 0.1633 0.3285 0.3266
Sr 0.5000 0.0000 0.0000
Mg 0.5000 0.5000 0.0000
Mg 0.1564 0.7625 0.3128
Mg 0.8436 0.2375 0.6872
N 0.6652 0.5595 0.3303
N 0.6840 0.1636 0.3679
N 0.9997 0.7330 0.9995
N 0.3160 0.8364 0.6321
N 0.0003 0.2670 0.0005
N 0.3348 0.4405 0.6697


MgPa2TaN6: optimized geometry, PBE.

Computed properties:
- M_tot: 0.43 μB/f.u.
- Total DFT energy (no corrections): -9.229 eV per atom
- Space-group type: P4mm (99)

Cell lengths 5.0981, 5.2704, 5.2704 Å; angles 90.00, 90.00, 90.00 degrees
Sites, in units of the cell vectors:
N 0.7430 0.2462 0.2462
N 0.7430 0.2462 0.7538
N 0.1983 0.0000 0.0000
N 0.1592 0.5000 0.5000
N 0.7430 0.7538 0.2462
N 0.7430 0.7538 0.7538
Ta 0.5816 0.0000 0.0000
Pa 0.9845 0.5000 0.0000
Pa 0.9845 0.0000 0.5000
Mg 0.5666 0.5000 0.5000


Mg2PaTa3N6: optimized geometry, PBE.

Computed properties:
- M_tot: 0.00 μB/f.u.
- Total DFT energy (no corrections): -9.372 eV per atom
- Space-group type: C2/m (12)

Cell lengths 5.4696, 5.4696, 5.6113 Å; angles 99.19, 99.19, 120.45 degrees
Sites, in units of the cell vectors:
Mg 0.3339 0.6661 0.0000
Mg 0.6661 0.3339 0.0000
Pa 0.0000 0.0000 0.0000
Ta 0.8199 0.1801 0.5000
Ta 0.1801 0.8199 0.5000
Ta 0.5000 0.5000 0.5000
N 0.4313 0.0865 0.2526
N 0.0865 0.4313 0.2526
N 0.2552 0.2552 0.7339
N 0.5687 0.9135 0.7474
N 0.7448 0.7448 0.2661
N 0.9135 0.5687 0.7474


MgPa2TaN5: optimized geometry, PBE.

Computed properties:
- M_tot: 0.00 μB/f.u.
- Total DFT energy (no corrections): -9.498 eV per atom
- Space-group type: Cmc2_1 (36)

Cell lengths 3.3349, 6.8421, 10.1297 Å; angles 90.00, 90.00, 104.11 degrees
Sites, in units of the cell vectors:
Ta 0.7924 0.5849 0.5055
Ta 0.2076 0.4151 0.0055
N 0.3088 0.6177 0.3702
N 0.3644 0.7287 0.0063
N 0.6912 0.3823 0.8702
N 0.7208 0.4416 0.1566
N 0.9397 0.8794 0.5679
N 0.0603 0.1206 0.0679
N 0.5078 0.0155 0.2724
N 0.6356 0.2713 0.5063
N 0.2792 0.5584 0.6566
N 0.4922 0.9845 0.7724
Mg 0.4744 0.9488 0.4692
Mg 0.5256 0.0512 0.9692
Pa 0.8915 0.7830 0.1848
Pa 0.1085 0.2170 0.6848
Pa 0.1388 0.2775 0.2910
Pa 0.8612 0.7225 0.7910


Question: Among the records above, which one has the highest M_tot?
Answer: Sr2Mg2PaN4